LaPH (GGA-PBE, optimized geometry); DOS(E_F) = 1.74 states/eV/cell; ΔE to the lowest computed polymorph = 0.00 eV per formula unit; raw total energy = -33.03 eV/cell; space-group type = No. 63; calculated density = 5.452 g cm⁻³
1.0
3.887 0.000 -1.172
0.000 4.070 0.001
-0.122 -0.001 6.617
La H P
2 2 2
Direct
0.251 0.115 0.964
0.979 0.615 0.421
0.866 0.115 0.195
0.364 0.615 0.191
0.568 0.115 0.599
0.662 0.615 0.787